Computed, not measured: Pr2Sm2CI3Cl2 after structural relaxation at the GGA-PBE level of DFT.

Results
- VASP energy: -4.9873 eV per atom
- Density: 5.58 g cm⁻³

The structure in POSCAR format:
```
Pr2Sm2CI3Cl2
1.0
-4.867 -4.624 -6.393
-3.467 -7.580 -4.057
-6.084 1.889 6.036
Sm I Cl C Pr
2 3 2 1 2
Cartesian
-9.481 -11.809 -9.263 Sm
-4.938 1.493 4.849 Sm
-7.209 -5.158 -2.207 I
-10.864 -8.883 -4.731 I
-3.554 -1.433 0.317 I
-6.513 -0.434 3.354 Cl
-7.905 -9.883 -7.769 Cl
-4.167 -6.102 -5.225 C
-8.652 -2.588 1.909 Pr
-5.767 -7.728 -6.324 Pr
```